A relaxed structure of MnW2Au, computed with GGA-PBE.

Summary:
magnetization	7.13	μB per cell
Fermi-level density of states	4.0	states/eV/f.u.
energy relative to the lowest polymorph listed for this composition	180	meV/atom
raw total energy	-9.186	eV per atom

Unit cell a=2.8547 b=2.8547 c=27.1782 alpha=90.00 beta=90.00 gamma=120.00
Space group R3m (No. 160, hexagonal axes)
Inequivalent atoms, fractional coordinates:
Mn 0.0000 0.0000 0.0000
W 0.0000 0.0000 0.2590
W 0.0000 0.0000 0.5052
Au 0.0000 0.0000 0.7492

***

A relaxed structure of LiAl2Te, computed with GGA-PBE.

Summary:
energy relative to the elements, uncorrected	-137.7	meV/atom
magnetization	0.00	μB per cell
Fermi-level density of states	0.9	states/eV/f.u.
raw total energy	-3.273	eV per atom

Unit cell a=3.9793 b=3.9793 c=5.2490 alpha=90.00 beta=90.00 gamma=90.00
Space group P4/mmm (No. 123)
Inequivalent atoms, fractional coordinates:
Li 0.0000 0.0000 0.0000
Al 0.0000 0.5000 0.5000
Te 0.5000 0.5000 0.0000

***

A relaxed structure of GdErInIr, computed with GGA-PBE.

Summary:
magnetization	28.46	μB per cell
Fermi-level density of states	2.5	states/eV/f.u.
raw total energy	-8.105	eV per atom

Unit cell a=7.1801 b=7.1801 c=7.1801 alpha=90.00 beta=90.00 gamma=90.00
Space group F-43m (No. 216)
Inequivalent atoms, fractional coordinates:
Gd 0.0000 0.0000 0.0000
Er 0.0000 0.0000 0.5000
In 0.2500 0.2500 0.7500
Ir 0.2500 0.2500 0.2500

***

A relaxed structure of LaHgW, computed with GGA-PBE.

Summary:
magnetization	12.24	μB per cell
Fermi-level density of states	1.0	states/eV/f.u.
energy relative to the lowest polymorph listed for this composition	820	meV/atom
raw total energy	-4.676	eV per atom

Unit cell a=7.1300 b=7.1300 c=7.1300 alpha=90.00 beta=90.00 gamma=90.00
Space group F-43m (No. 216)
Inequivalent atoms, fractional coordinates:
La 0.0000 0.0000 0.0000
Hg 0.2500 0.2500 0.7500
W 0.2500 0.2500 0.2500

***

A relaxed structure of Sm12Tm2Th, computed with GGA-PBE.

Summary:
magnetization	0.00	μB per cell
Fermi-level density of states	22.0	states/eV/f.u.
raw total energy	-4.688	eV per atom

Unit cell a=7.0932 b=11.5100 c=24.8888 alpha=90.00 beta=90.00 gamma=90.00
Space group Cmme (No. 67)
Inequivalent atoms, fractional coordinates:
Sm 0.0000 0.0013 0.0752
Sm 0.0000 0.0229 0.5601
Sm 0.2331 0.2500 0.4125
Sm 0.2491 0.2500 0.8727
Sm 0.2500 0.0000 0.2003
Sm 0.2500 0.0000 0.3253
Tm 0.0000 0.2500 0.2663
Tm 0.0000 0.2500 0.7299
Th 0.0000 0.2500 0.9994

***

A relaxed structure of SiNiP, computed with GGA-PBE.

Summary:
energy relative to the elements, uncorrected	-174.2	meV/atom
magnetization	0.00	μB per cell
Fermi-level density of states	1.0	states/eV/f.u.
raw total energy	-5.712	eV per atom

Unit cell a=4.0490 b=4.0490 c=8.7511 alpha=90.00 beta=90.00 gamma=120.00
Space group R3m (No. 160, hexagonal axes)
Inequivalent atoms, fractional coordinates:
Si 0.0000 0.0000 0.0000
Ni 0.0000 0.0000 0.7347
P 0.0000 0.0000 0.4677

***

A relaxed structure of AgSn2Cl8, computed with GGA-PBE.

Summary:
energy relative to the elements, uncorrected	-750.7	meV/atom
magnetization	0.00	μB per cell
Fermi-level density of states	3.2	states/eV/f.u.
energy relative to the lowest polymorph listed for this composition	0	meV/atom
raw total energy	-3.081	eV per atom

Unit cell a=7.8071 b=7.8071 c=6.9853 alpha=90.00 beta=90.00 gamma=120.00
Space group P-3m1 (No. 164)
Inequivalent atoms, fractional coordinates:
Ag 0.0000 0.0000 0.0000
Sn 0.3333 0.6667 0.8402
Cl 0.1600 0.3201 0.7509
Cl 0.3333 0.6667 0.1777

***

A relaxed structure of KGa2AsCl, computed with GGA-PBE.

Summary:
energy relative to the elements, uncorrected	576.7	meV/atom
magnetization	1.15	μB per cell
Fermi-level density of states	3.8	states/eV/f.u.
raw total energy	-2.153	eV per atom

Unit cell a=6.1410 b=6.1410 c=5.2520 alpha=90.00 beta=90.00 gamma=90.00
Space group P4/mmm (No. 123)
Inequivalent atoms, fractional coordinates:
K 0.0000 0.0000 0.0000
Ga 0.0000 0.5000 0.0000
As 0.5000 0.5000 0.5000
Cl 0.0000 0.0000 0.5000

***

A relaxed structure of CrCuSb2, computed with GGA-PBE.

Summary:
energy relative to the elements, uncorrected	319.5	meV/atom
magnetization	3.05	μB per cell
Fermi-level density of states	2.4	states/eV/f.u.
energy relative to the lowest polymorph listed for this composition	178	meV/atom
raw total energy	-5.172	eV per atom

Unit cell a=3.3744 b=3.6768 c=6.3166 alpha=90.00 beta=95.12 gamma=90.00
Space group P2/m (No. 10)
Inequivalent atoms, fractional coordinates:
Cr 0.0000 0.0000 0.0000
Cu 0.0000 0.0000 0.5000
Sb 0.4658 0.5000 0.7546

***

A relaxed structure of TbPm2Sn3Pd6, computed with GGA-PBE.

Summary:
magnetization	0.00	μB per cell
Fermi-level density of states	7.1	states/eV/f.u.
raw total energy	-5.292	eV per atom

Unit cell a=4.0523 b=4.0523 c=17.9992 alpha=90.00 beta=90.00 gamma=90.00
Space group P4/mmm (No. 123)
Inequivalent atoms, fractional coordinates:
Tb 0.0000 0.0000 0.0000
Pm 0.0000 0.0000 0.3109
Sn 0.5000 0.5000 0.2094
Sn 0.5000 0.5000 0.5000
Pd 0.0000 0.5000 0.1141
Pd 0.5000 0.5000 0.3586

***

A relaxed structure of Ba4IrO6, computed with GGA-PBE.

Summary:
energy relative to the elements, uncorrected	-2097.4	meV/atom
magnetization	6.34	μB per cell
Fermi-level density of states	7.2	states/eV/f.u.
energy relative to the lowest polymorph listed for this composition	0	meV/atom
raw total energy	-6.307	eV per atom

Unit cell a=10.3872 b=10.3872 c=12.7859 alpha=90.00 beta=90.00 gamma=120.00
Space group R-3c (No. 167, hexagonal axes)
Inequivalent atoms, fractional coordinates:
Ba 0.0000 0.0000 0.2500
Ba 0.0000 0.3682 0.2500
Ir 0.0000 0.0000 0.0000
O 0.0220 0.1763 0.4063

***

A relaxed structure of La6Pr4Sm, computed with GGA-PBE.

Summary:
magnetization	0.00	μB per cell
Fermi-level density of states	17.4	states/eV/f.u.
energy relative to the lowest polymorph listed for this composition	0	meV/atom
raw total energy	-4.622	eV per atom

Unit cell a=6.8825 b=6.8825 c=16.8931 alpha=90.00 beta=90.00 gamma=90.00
Space group I-42m (No. 121)
Inequivalent atoms, fractional coordinates:
La 0.0000 0.5000 0.0000
La 0.1590 0.1590 0.3836
Pr 0.1816 0.1816 0.1850
Sm 0.0000 0.0000 0.0000

***

A relaxed structure of NaSi3Pt3, computed with GGA-PBE.

Summary:
energy relative to the elements, uncorrected	-498.1	meV/atom
magnetization	0.00	μB per cell
Fermi-level density of states	1.9	states/eV/f.u.
energy relative to the lowest polymorph listed for this composition	0	meV/atom
raw total energy	-5.600	eV per atom

Unit cell a=6.6874 b=6.6874 c=20.3038 alpha=90.00 beta=90.00 gamma=120.00
Space group R-3 (No. 148, hexagonal axes)
Inequivalent atoms, fractional coordinates:
Na 0.0000 0.0000 0.1639
Si 0.0107 0.4148 0.3831
Pt 0.0084 0.2479 0.5974